Entry 1:
A geometry-optimized LiSc2ZnH structure, computed with PBE.

Structure (POSCAR):
```
LiSc2ZnH
1.0
4.5902 0.0000 0.0000
0.0000 4.5902 0.0000
0.0000 0.0000 3.6190
Li Sc Zn H
1 2 1 1
direct
0.0000 0.0000 0.0000 Li
0.0000 0.5000 0.5000 Sc
0.5000 0.0000 0.5000 Sc
0.5000 0.5000 0.0000 Zn
0.0000 0.0000 0.5000 H
```

Computed properties:
size of the total moment	0.8	μB per formula unit
density of states at the Fermi level	3.995	states/eV/cell
total DFT energy (no corrections)	-4.119	eV per atom



Entry 2:
A geometry-optimized LiScZnH2 structure, computed with PBE.

Structure (POSCAR):
```
LiScZnH2
1.0
3.8084 0.0000 0.0000
0.0000 3.8084 0.0000
0.0000 0.0000 5.1878
Li Sc Zn H
1 1 1 2
direct
0.0000 0.0000 0.0000 Li
0.0000 0.0000 0.5000 Sc
0.5000 0.5000 0.5000 Zn
0.0000 0.5000 0.0000 H
0.5000 0.0000 0.0000 H
```

Computed properties:
size of the total moment	0.6	μB per formula unit
density of states at the Fermi level	4.406	states/eV/cell
total DFT energy (no corrections)	-2.685	eV per atom



Entry 3:
A geometry-optimized LiZrSc2H structure, computed with PBE.

Structure (POSCAR):
```
LiZrSc2H
1.0
4.5442 0.0000 0.0000
0.0000 4.5442 0.0000
0.0000 0.0000 4.2164
Li Zr Sc H
1 1 2 1
direct
0.0000 0.0000 0.0000 Li
0.5000 0.5000 0.0000 Zr
0.0000 0.5000 0.5000 Sc
0.5000 0.0000 0.5000 Sc
0.0000 0.0000 0.5000 H
```

Computed properties:
size of the total moment	0.0	μB per formula unit
density of states at the Fermi level	7.032	states/eV/cell
relative energy among the computed polymorphs	14	meV per atom



Entry 4:
A geometry-optimized LiZrSc2H structure, computed with PBE.

Structure (POSCAR):
```
LiZrSc2H
1.0
4.5819 0.0000 0.0000
0.0000 4.5819 0.0000
0.0000 0.0000 4.2769
Li Zr Sc H
1 1 2 1
direct
0.0000 0.0000 0.0000 Li
0.5000 0.5000 0.0000 Zr
0.0000 0.5000 0.5000 Sc
0.5000 0.0000 0.5000 Sc
0.5000 0.5000 0.5000 H
```

Computed properties:
size of the total moment	0.0	μB per formula unit
density of states at the Fermi level	6.493	states/eV/cell
relative energy among the computed polymorphs	0	meV per atom



Entry 5:
A geometry-optimized Li2H2Se structure, computed with PBE.

Structure (POSCAR):
```
Li2H2Se
1.0
6.1110 0.0000 0.0000
0.0000 6.1110 0.0000
0.0000 0.0000 3.5121
Li H Se
4 4 2
direct
0.2356 0.2644 0.0000 Li
0.2644 0.7644 0.0000 Li
0.7356 0.2356 0.0000 Li
0.7644 0.7356 0.0000 Li
0.0446 0.5446 0.5000 H
0.4554 0.0446 0.5000 H
0.5446 0.9554 0.5000 H
0.9554 0.4554 0.5000 H
0.0000 0.0000 0.5000 Se
0.5000 0.5000 0.5000 Se
```

Computed properties:
size of the total moment	0.0	μB per formula unit
density of states at the Fermi level	0.000	states/eV/cell
relative energy among the computed polymorphs	169	meV per atom



Entry 6:
A geometry-optimized Li4HSe2 structure, computed with PBE.

Structure (POSCAR):
```
Li4HSe2
1.0
-1.8974 1.8974 7.0046
1.8974 -1.8974 7.0046
1.8974 1.8974 -7.0046
Li H Se
4 1 2
direct
0.0000 0.5000 0.5000 Li
0.1721 0.1721 0.0000 Li
0.5000 0.0000 0.5000 Li
0.8279 0.8279 0.0000 Li
0.0000 0.0000 0.0000 H
0.3606 0.3606 0.0000 Se
0.6394 0.6394 0.0000 Se
```

Computed properties:
size of the total moment	0.0	μB per formula unit
density of states at the Fermi level	3.389	states/eV/cell
total DFT energy (no corrections)	-3.394	eV per atom



Entry 7:
A geometry-optimized Li4H2Se structure, computed with PBE.

Structure (POSCAR):
```
Li4H2Se
1.0
3.4458 -5.9503 0.0000
3.4458 5.9503 0.0000
-3.4431 0.0000 4.6135
Li H Se
8 4 2
direct
0.0043 0.9957 0.5000 Li
0.0960 0.4995 0.8931 Li
0.3273 0.8365 0.6633 Li
0.4371 0.5338 0.2715 Li
0.4995 0.0960 0.3931 Li
0.5338 0.4371 0.7715 Li
0.8365 0.3273 0.1633 Li
0.9957 0.0043 0.0000 Li
0.1443 0.2438 0.8796 H
0.1962 0.5956 0.2841 H
0.2438 0.1443 0.3796 H
0.5956 0.1962 0.7841 H
0.6066 0.8569 0.0818 Se
0.8569 0.6066 0.5818 Se
```

Computed properties:
size of the total moment	0.0	μB per formula unit
density of states at the Fermi level	0.000	states/eV/cell
total DFT energy (no corrections)	-3.253	eV per atom



Entry 8:
A geometry-optimized Li12H5Se3 structure, computed with PBE.

Structure (POSCAR):
```
Li12H5Se3
1.0
-6.5306 6.5306 6.5306
6.5306 -6.5306 6.5306
6.5306 6.5306 -6.5306
Li H Se
48 20 12
direct
0.0220 0.2069 0.1217 Li
0.0220 0.3151 0.9003 Li
0.0852 0.7069 0.6849 Li
0.0852 0.8783 0.4003 Li
0.0997 0.6217 0.4148 Li
0.0997 0.9780 0.6849 Li
0.1217 0.0220 0.2069 Li
0.1217 0.5997 0.9148 Li
0.1849 0.2069 0.5852 Li
0.1849 0.4780 0.5997 Li
0.2069 0.1217 0.0220 Li
0.2069 0.5852 0.1849 Li
0.2931 0.3151 0.9148 Li
0.2931 0.4780 0.3783 Li
0.3151 0.9003 0.0220 Li
0.3151 0.9148 0.2931 Li
0.3783 0.2931 0.4780 Li
0.3783 0.5852 0.9003 Li
0.4003 0.0852 0.8783 Li
0.4003 0.8151 0.5220 Li
0.4148 0.0997 0.6217 Li
0.4148 0.8151 0.7931 Li
0.4780 0.3783 0.2931 Li
0.4780 0.5997 0.1849 Li
0.5220 0.4003 0.8151 Li
0.5220 0.6217 0.7069 Li
0.5852 0.1849 0.2069 Li
0.5852 0.9003 0.3783 Li
0.5997 0.1849 0.4780 Li
0.5997 0.9148 0.1217 Li
0.6217 0.4148 0.0997 Li
0.6217 0.7069 0.5220 Li
0.6849 0.0852 0.7069 Li
0.6849 0.0997 0.9780 Li
0.7069 0.5220 0.6217 Li
0.7069 0.6849 0.0852 Li
0.7931 0.4148 0.8151 Li
0.7931 0.8783 0.9780 Li
0.8151 0.5220 0.4003 Li
0.8151 0.7931 0.4148 Li
0.8783 0.4003 0.0852 Li
0.8783 0.9780 0.7931 Li
0.9003 0.0220 0.3151 Li
0.9003 0.3783 0.5852 Li
0.9148 0.1217 0.5997 Li
0.9148 0.2931 0.3151 Li
0.9780 0.6849 0.0997 Li
0.9780 0.7931 0.8783 Li
0.0000 0.0000 0.0000 H
0.0000 0.0000 0.5000 H
0.0000 0.5000 0.0000 H
0.0000 0.5000 0.5000 H
0.1250 0.7500 0.8750 H
0.1250 0.8750 0.2500 H
0.2500 0.1250 0.8750 H
0.2500 0.6250 0.3750 H
0.3750 0.2500 0.6250 H
0.3750 0.6250 0.7500 H
0.5000 0.0000 0.0000 H
0.5000 0.0000 0.5000 H
0.5000 0.5000 0.0000 H
0.5000 0.5000 0.5000 H
0.6250 0.3750 0.2500 H
0.6250 0.7500 0.3750 H
0.7500 0.3750 0.6250 H
0.7500 0.8750 0.1250 H
0.8750 0.1250 0.7500 H
0.8750 0.2500 0.1250 H
0.1250 0.2500 0.3750 Se
0.1250 0.3750 0.7500 Se
0.2500 0.3750 0.1250 Se
0.2500 0.8750 0.6250 Se
0.3750 0.1250 0.2500 Se
0.3750 0.7500 0.1250 Se
0.6250 0.2500 0.8750 Se
0.6250 0.8750 0.7500 Se
0.7500 0.1250 0.3750 Se
0.7500 0.6250 0.8750 Se
0.8750 0.6250 0.2500 Se
0.8750 0.7500 0.6250 Se
```

Computed properties:
size of the total moment	0.9	μB per formula unit
density of states at the Fermi level	10.925	states/eV/cell
total DFT energy (no corrections)	-3.180	eV per atom



Entry 9:
A geometry-optimized Li2HSe structure, computed with PBE.

Structure (POSCAR):
```
Li2HSe
1.0
6.4053 0.0000 0.0000
0.0000 5.4911 0.0000
0.0000 0.0000 6.4027
Li H Se
8 4 4
direct
0.1487 0.0000 0.1483 Li
0.1487 0.5000 0.1483 Li
0.3513 0.0000 0.6483 Li
0.3513 0.5000 0.6483 Li
0.6487 0.0000 0.3517 Li
0.6487 0.5000 0.3517 Li
0.8513 0.0000 0.8517 Li
0.8513 0.5000 0.8517 Li
0.9997 0.2500 0.0004 H
0.0003 0.7500 0.9996 H
0.4997 0.2500 0.4996 H
0.5003 0.7500 0.5004 H
0.9999 0.2500 0.5001 Se
0.0001 0.7500 0.4999 Se
0.4999 0.2500 0.9999 Se
0.5001 0.7500 0.0001 Se
```

Computed properties:
size of the total moment	0.0	μB per formula unit
density of states at the Fermi level	3.131	states/eV/cell
relative energy among the computed polymorphs	0	meV per atom



Entry 10:
A geometry-optimized Li2HSe structure, computed with PBE.

Structure (POSCAR):
```
Li2HSe
1.0
-2.8195 2.8195 3.5416
2.8195 -2.8195 3.5416
2.8195 2.8195 -3.5416
Li H Se
4 2 2
direct
0.0079 0.1250 0.3829 Li
0.3750 0.9921 0.1171 Li
0.7421 0.6250 0.6171 Li
0.8750 0.2579 0.8829 Li
0.0000 0.0000 0.0000 H
0.7500 0.2500 0.5000 H
0.2500 0.7500 0.5000 Se
0.5000 0.5000 0.0000 Se
```

Computed properties:
size of the total moment	0.0	μB per formula unit
density of states at the Fermi level	3.750	states/eV/cell
relative energy among the computed polymorphs	103	meV per atom



Entry 11:
A geometry-optimized Li2H2Se structure, computed with PBE.

Structure (POSCAR):
```
Li2H2Se
1.0
3.7524 -2.2296 0.0000
3.7524 2.2296 0.0000
-2.6141 0.0000 3.6092
Li H Se
2 2 1
direct
0.2499 0.2499 0.2479 Li
0.7501 0.7501 0.7521 Li
0.4373 0.4373 0.9323 H
0.5627 0.5627 0.0677 H
0.0000 0.0000 0.5000 Se
```

Computed properties:
size of the total moment	0.0	μB per formula unit
density of states at the Fermi level	0.000	states/eV/cell
relative energy among the computed polymorphs	0	meV per atom



Entry 12:
A geometry-optimized Li2HSe structure, computed with PBE.

Structure (POSCAR):
```
Li2HSe
1.0
0.0000 3.0172 3.0172
3.0172 0.0000 3.0172
3.0172 3.0172 0.0000
Li H Se
2 1 1
direct
0.2500 0.2500 0.2500 Li
0.7500 0.7500 0.7500 Li
0.0000 0.0000 0.0000 H
0.5000 0.5000 0.5000 Se
```

Computed properties:
size of the total moment	0.8	μB per formula unit
density of states at the Fermi level	0.913	states/eV/cell
relative energy among the computed polymorphs	130	meV per atom



Entry 13:
A geometry-optimized Li2TeHSe structure, computed with PBE.

Structure (POSCAR):
```
Li2TeHSe
1.0
5.2281 0.0000 0.0000
0.0000 5.2281 0.0000
0.0000 0.0000 3.5464
Li Te H Se
2 1 1 1
direct
0.0000 0.5000 0.0000 Li
0.5000 0.0000 0.0000 Li
0.0000 0.0000 0.5510 Te
0.5000 0.5000 0.4854 H
0.5000 0.5000 0.0672 Se
```

Computed properties:
size of the total moment	0.0	μB per formula unit
density of states at the Fermi level	2.918	states/eV/cell
total DFT energy (no corrections)	-3.308	eV per atom



Entry 14:
A geometry-optimized LiSi2H8 structure, computed with PBE.

Structure (POSCAR):
```
LiSi2H8
1.0
4.1735 -2.9859 0.0000
4.1735 2.9859 0.0000
-1.2803 0.0000 4.5119
Li Si H
1 2 8
direct
0.0000 0.0000 0.0000 Li
0.2041 0.2041 0.6607 Si
0.7959 0.7959 0.3393 Si
0.0766 0.6848 0.2287 H
0.1877 0.1877 0.3276 H
0.3152 0.9234 0.7713 H
0.3866 0.3866 0.8056 H
0.6134 0.6134 0.1944 H
0.6848 0.0766 0.2287 H
0.8123 0.8123 0.6724 H
0.9234 0.3152 0.7713 H
```

Computed properties:
size of the total moment	0.0	μB per formula unit
density of states at the Fermi level	1.616	states/eV/cell
total DFT energy (no corrections)	-3.484	eV per atom



Entry 15:
A geometry-optimized LiSiH4 structure, computed with PBE.

Structure (POSCAR):
```
LiSiH4
1.0
4.6062 0.0000 0.0000
0.0140 5.4909 0.0000
2.0878 2.4415 4.6716
Li Si H
2 2 8
direct
0.2399 0.3478 0.0022 Li
0.7601 0.6522 0.9978 Li
0.2239 0.6811 0.3910 Si
0.7761 0.3189 0.6090 Si
0.1223 0.9535 0.2668 H
0.1539 0.6661 0.7022 H
0.3250 0.6477 0.0944 H
0.4186 0.2531 0.6831 H
0.5814 0.7469 0.3169 H
0.6750 0.3523 0.9056 H
0.8461 0.3339 0.2978 H
0.8777 0.0465 0.7332 H
```

Computed properties:
size of the total moment	0.0	μB per formula unit
relative energy among the computed polymorphs	0	meV per atom



Entry 16:
A geometry-optimized LiSi2H structure, computed with PBE.

Structure (POSCAR):
```
LiSi2H
1.0
0.0000 2.8482 2.8482
2.8482 0.0000 2.8482
2.8482 2.8482 0.0000
Li Si H
1 2 1
direct
0.0000 0.0000 0.0000 Li
0.2500 0.2500 0.2500 Si
0.7500 0.7500 0.7500 Si
0.5000 0.5000 0.5000 H
```

Computed properties:
size of the total moment	0.0	μB per formula unit
density of states at the Fermi level	0.658	states/eV/cell
relative energy among the computed polymorphs	139	meV per atom



Entry 17:
A geometry-optimized LiSi2H6 structure, computed with PBE.

Structure (POSCAR):
```
LiSi2H6
1.0
2.0076 1.1591 6.0945
-2.0076 1.1591 6.0945
0.0000 -2.3182 6.0945
Li Si H
1 2 6
direct
0.0000 0.0000 0.0000 Li
0.5599 0.5599 0.5599 Si
0.7855 0.7855 0.7855 Si
0.0682 0.7461 0.4153 H
0.3215 0.5330 0.9565 H
0.4153 0.0682 0.7461 H
0.5330 0.9565 0.3215 H
0.7461 0.4153 0.0682 H
0.9565 0.3215 0.5330 H
```

Computed properties:
size of the total moment	0.0	μB per formula unit
density of states at the Fermi level	0.789	states/eV/cell
total DFT energy (no corrections)	-3.530	eV per atom



Entry 18:
A geometry-optimized Li2SiH6 structure, computed with PBE.

Structure (POSCAR):
```
Li2SiH6
1.0
4.1921 0.0000 0.0000
0.0000 4.1921 0.0000
0.0000 0.0000 8.1118
Li Si H
4 2 12
direct
0.0000 0.0000 0.1679 Li
0.0000 0.0000 0.8321 Li
0.5000 0.5000 0.3321 Li
0.5000 0.5000 0.6679 Li
0.0000 0.0000 0.5000 Si
0.5000 0.5000 0.0000 Si
0.1861 0.1861 0.3573 H
0.1861 0.1861 0.6427 H
0.2310 0.2310 0.0000 H
0.2690 0.7310 0.5000 H
0.3139 0.6861 0.1427 H
0.3139 0.6861 0.8573 H
0.6861 0.3139 0.1427 H
0.6861 0.3139 0.8573 H
0.7310 0.2690 0.5000 H
0.7690 0.7690 0.0000 H
0.8139 0.8139 0.3573 H
0.8139 0.8139 0.6427 H
```

Computed properties:
size of the total moment	0.0	μB per formula unit
density of states at the Fermi level	0.000	states/eV/cell
relative energy among the computed polymorphs	9	meV per atom



Entry 19:
A geometry-optimized LiSiH3 structure, computed with PBE.

Structure (POSCAR):
```
LiSiH3
1.0
3.6730 0.0000 0.0000
0.0000 3.6730 0.0000
0.0000 0.0000 3.6730
Li Si H
1 1 3
direct
0.0000 0.0000 0.0000 Li
0.5000 0.5000 0.5000 Si
0.0000 0.5000 0.5000 H
0.5000 0.0000 0.5000 H
0.5000 0.5000 0.0000 H
```

Computed properties:
size of the total moment	0.0	μB per formula unit
density of states at the Fermi level	0.752	states/eV/cell
relative energy among the computed polymorphs	281	meV per atom



Entry 20:
A geometry-optimized LiSi3H structure, computed with PBE.

Structure (POSCAR):
```
LiSi3H
1.0
3.9579 0.0000 0.0000
0.0000 3.9579 0.0000
0.0000 0.0000 3.9579
Li Si H
1 3 1
direct
0.0000 0.0000 0.0000 Li
0.0000 0.5000 0.5000 Si
0.5000 0.0000 0.5000 Si
0.5000 0.5000 0.0000 Si
0.5000 0.5000 0.5000 H
```

Computed properties:
size of the total moment	0.0	μB per formula unit
density of states at the Fermi level	1.063	states/eV/cell
relative energy among the computed polymorphs	0	meV per atom



Entry 21:
A geometry-optimized LiSi3H structure, computed with PBE.

Structure (POSCAR):
```
LiSi3H
1.0
4.3170 0.0000 0.0000
0.0000 4.3170 0.0000
0.0000 0.0000 4.3170
Li Si H
1 3 1
direct
0.0000 0.0000 0.0000 Li
0.0000 0.0000 0.5000 Si
0.0000 0.5000 0.0000 Si
0.5000 0.0000 0.0000 Si
0.5000 0.5000 0.5000 H
```

Computed properties:
size of the total moment	0.0	μB per formula unit
density of states at the Fermi level	1.513	states/eV/cell
relative energy among the computed polymorphs	875	meV per atom